Entry from Alexandria via LeMat-Bulk: a relaxed structure of Cs3CeCl6 (PBE-GGA).

abc: 14.2034 8.3283 8.5040
angles: 90.00 123.17 90.00
Last column: nearest neighbours and their distance in Å.
Space group C2/m (No. 12)
Symmetry-distinct sites (fractional):
Cs (0.0000, 0.0000, 0.0000) [2 per cell]  6 Cl 3.41-3.50
Cs (0.2444, 0.0000, 0.7227) [4 per cell]  5 Cl 3.52-3.60
Ce (0.0000, 0.5000, 0.5000) [2 per cell]  6 Cl 2.77-2.78
Cl (0.0696, 0.2671, 0.3520) [8 per cell]  1 Ce 2.77
Cl (0.2130, 0.5000, 0.8289) [4 per cell]  1 Ce 2.78

**Formation energy from raw total energies**: -2.120 eV/atom